No. 1
Here is a relaxed NaVMo2 crystal from Alexandria via LeMat-Bulk. Energies are from PBE.

Cell lengths 3.8117, 3.8117, 10.1068 Å; angles 79.13, 79.13, 90.00 degrees
Element x y z (fractional)
Na (0.5000, 0.5000, 0.0000)
Na (0.2500, 0.7500, 0.5000)
Mo (0.6548, 0.1250, 0.2500)
Mo (0.0952, 0.6250, 0.2500)
Mo (0.3750, 0.3452, 0.7500)
Mo (0.8750, 0.9048, 0.7500)
V (0.0000, 0.0000, 0.0000)
V (0.7500, 0.2500, 0.5000)

Calculated values
The calculated volume is 17.69 Å³ per atom. As for the symmetry: No. 122. The calculation puts the total magnetization at 0.3669 μB/atom. Its energy above the most stable polymorph in this dataset is 283 meV/atom. Its density of states at the Fermi level is 3.81 states/eV/f.u. As for the formation energy: 1.2312 eV per atom.



No. 2
Here is a relaxed NaV2Mo crystal from Alexandria via LeMat-Bulk. Energies are from PBE.

Cell lengths 3.8015, 3.8015, 9.6136 Å; angles 78.60, 78.60, 90.00 degrees
Element x y z (fractional)
Na (0.5000, 0.5000, 0.0000)
Na (0.2500, 0.7500, 0.5000)
Mo (0.0000, 0.0000, 0.0000)
Mo (0.7500, 0.2500, 0.5000)
V (0.6578, 0.1250, 0.2500)
V (0.0922, 0.6250, 0.2500)
V (0.3750, 0.3422, 0.7500)
V (0.8750, 0.9078, 0.7500)

Calculated values
The calculated volume is 16.67 Å³ per atom. As for the symmetry: No. 122. The calculation puts the total magnetization at 0.0644 μB/atom. Its energy above the most stable polymorph in this dataset is 499 meV/atom. Its density of states at the Fermi level is 4.54 states/eV/f.u. As for the formation energy: 1.3184 eV per atom.



No. 3
Here is a relaxed NaV2Mo crystal from Alexandria via LeMat-Bulk. Energies are from PBE.

Cell lengths 4.4556, 4.4556, 4.4556 Å; angles 60.00, 60.00, 60.00 degrees
Element x y z (fractional)
Na (0.0000, 0.0000, 0.0000)
Mo (0.5000, 0.5000, 0.5000)
V (0.2500, 0.2500, 0.2500)
V (0.7500, 0.7500, 0.7500)

Calculated values
The calculated volume is 15.64 Å³ per atom. As for the symmetry: No. 225. The calculation puts the total magnetization at 0.0000 μB/atom. Its energy above the most stable polymorph in this dataset is 0 meV/atom. Its density of states at the Fermi level is 3.87 states/eV/f.u. As for the formation energy: 0.8190 eV per atom.



No. 4
Here is a relaxed NaVMo2 crystal from Alexandria via LeMat-Bulk. Energies are from PBE.

Cell lengths 4.4655, 4.4655, 4.4655 Å; angles 60.00, 60.00, 60.00 degrees
Element x y z (fractional)
Na (0.0000, 0.0000, 0.0000)
Mo (0.2500, 0.2500, 0.2500)
Mo (0.7500, 0.7500, 0.7500)
V (0.5000, 0.5000, 0.5000)

Calculated values
The calculated volume is 15.74 Å³ per atom. As for the symmetry: No. 225. The calculation puts the total magnetization at 0.0000 μB/atom. Its energy above the most stable polymorph in this dataset is 0 meV/atom. Its density of states at the Fermi level is 3.37 states/eV/f.u. As for the formation energy: 0.9482 eV per atom.